[1]
Entry from the Alexandria database: a relaxed CsMg2CdCl8 crystal (PBE-GGA).

Summary:
crystal system: trigonal
ΔE_f (raw): -137 kJ/mol of atoms
space group: P-3 (147)
size of the total moment: 1.2 μB per cell

a = 6.6807 Å, b = 6.6807 Å, c = 9.5664 Å
α = 90.00°, β = 90.00°, γ = 120.00°
Element x y z (fractional)
Mg 0.3333 0.6667 0.7164
Cl 0.9945 0.3153 0.6649
Cl 0.6847 0.6792 0.6649
Cs 0.0000 0.0000 0.0000
Mg 0.6667 0.3333 0.2836
Cl 0.6667 0.3333 0.0352
Cd 0.0000 0.0000 0.5000
Cl 0.3333 0.6667 0.9648
Cl 0.3208 0.0055 0.6649
Cl 0.6792 0.9945 0.3351
Cl 0.0055 0.6847 0.3351
Cl 0.3153 0.3208 0.3351

=====

[2]
Entry from the Alexandria database: a relaxed KBaIr2 crystal (PBE-GGA).

Summary:
crystal system: cubic
space group: Fm-3m (225)
size of the total moment: 0.0 μB per cell
DFT formation energy: 1.0676 eV/atom

a = 5.2402 Å, b = 5.2402 Å, c = 5.2402 Å
α = 60.00°, β = 60.00°, γ = 60.00°
Element x y z (fractional)
K 0.0000 0.0000 0.0000
Ir 0.2500 0.2500 0.2500
Ir 0.7500 0.7500 0.7500
Ba 0.5000 0.5000 0.5000

=====

[3]
Entry from the Alexandria database: a relaxed AsPb2W crystal (PBE-GGA).

Summary:
crystal system: trigonal
space group: R-3m (166)
size of the total moment: 0.0 μB per cell
DFT formation energy: 0.8215 eV/atom

a = 10.4883 Å, b = 10.4883 Å, c = 10.4883 Å
α = 17.52°, β = 17.52°, γ = 17.52°
Element x y z (fractional)
Pb 0.9946 0.9946 0.9946
W 0.2500 0.2500 0.2500
Pb 0.5054 0.5054 0.5054
As 0.7500 0.7500 0.7500

=====

[4]
Entry from the Alexandria database: a relaxed FeAu2 crystal (PBE-GGA).

Summary:
crystal system: hexagonal
space group: P-62m (189)
size of the total moment: 9.2 μB per cell
DFT formation energy: 0.1674 eV/atom

a = 7.7353 Å, b = 7.7353 Å, c = 2.8257 Å
α = 90.00°, β = 90.00°, γ = 120.00°
Element x y z (fractional)
Au 0.0000 0.6338 0.5000
Au 0.0000 0.3005 0.0000
Au 0.6338 0.0000 0.5000
Fe 0.3333 0.6667 0.0000
Au 0.3005 0.0000 0.0000
Au 0.6995 0.6995 0.0000
Au 0.3662 0.3662 0.5000
Fe 0.0000 0.0000 0.5000
Fe 0.6667 0.3333 0.0000

=====

[5]
Entry from the Alexandria database: a relaxed RbTl3Pt crystal (PBE-GGA).

Summary:
crystal system: triclinic
space group: P-1 (2)
size of the total moment: 0.0 μB per cell
DFT formation energy: -0.1045 eV/atom

a = 5.2997 Å, b = 8.2135 Å, c = 8.7618 Å
α = 65.21°, β = 87.08°, γ = 91.86°
Element x y z (fractional)
Tl 0.8450 0.3621 0.5017
Tl 0.8324 0.6436 0.9845
Tl 0.3781 0.9752 0.8016
Pt 0.7966 0.7037 0.2930
Tl 0.8450 0.8621 0.5015
Rb 0.3633 0.2293 0.2665
Tl 0.8569 0.0804 0.0189
Rb 0.3268 0.4949 0.7369
Tl 0.3112 0.7490 0.2015
Pt 0.8925 0.0202 0.7102

=====

[6]
Entry from the Alexandria database: a relaxed Nd8Ga3IrI4 crystal (PBE-GGA).

Summary:
crystal system: monoclinic
ΔE_f (raw): -76 kJ/mol of atoms
space group: C2/m (12)
size of the total moment: 0.0 μB per cell

a = 8.6989 Å, b = 9.2464 Å, c = 8.7061 Å
α = 118.13°, β = 119.97°, γ = 90.00°
Element x y z (fractional)
Ir 0.0000 0.5000 0.0000
I 0.0000 0.0000 0.5000
Ga 0.5000 0.5000 0.0000
Nd 0.2532 0.3026 0.0278
Nd 0.2253 0.6974 0.9722
Nd 0.2615 0.2843 0.5230
I 0.5000 0.0000 0.5000
I 0.5000 0.0000 0.0000
Ga 0.5000 0.5000 0.5000
Ga 0.0000 0.5000 0.5000
I 0.0000 0.0000 0.0000
Nd 0.7468 0.6974 0.9722
Nd 0.7747 0.3026 0.0278
Nd 0.7743 0.3021 0.5487
Nd 0.2257 0.6979 0.4513
Nd 0.7385 0.7157 0.4770

=====

[7]
Entry from the Alexandria database: a relaxed UBeV2 crystal (PBE-GGA).

Summary:
crystal system: tetragonal
space group: P4/mmm (123)
size of the total moment: 1.2 μB per cell
DFT formation energy: 0.1816 eV/atom

a = 3.2984 Å, b = 4.1455 Å, c = 4.1455 Å
α = 90.00°, β = 90.00°, γ = 90.00°
Element x y z (fractional)
V 0.0000 0.0000 0.5000
U 0.5000 0.5000 0.5000
V 0.0000 0.5000 0.0000
Be 0.5000 0.0000 0.0000

=====

[8]
Entry from the Alexandria database: a relaxed LaTeAu2I crystal (PBE-GGA).

Summary:
crystal system: tetragonal
ΔE_f (raw): 6 kJ/mol of atoms
space group: P4/mmm (123)
size of the total moment: 0.0 μB per cell

a = 5.2320 Å, b = 6.1832 Å, c = 5.2320 Å
α = 90.00°, β = 90.00°, γ = 90.00°
Element x y z (fractional)
Au 0.0000 0.0000 0.5000
Au 0.5000 0.0000 0.0000
La 0.5000 0.5000 0.5000
I 0.0000 0.5000 0.0000
Te 0.0000 0.0000 0.0000